A relaxed structure of Y2Cd2Bi. Source: Alexandria via LeMat-Bulk, functional PBE.

Calculated values
formation energy from the elements = -1.3 eV/f.u.
DOS(E_F) = 1.102 states/eV/atom
total DFT energy (no corrections) = -20.0 eV/cell

abc: 4.0486 4.0486 9.2848
angles: 77.41 77.41 90.00
Sites, in units of the cell vectors:
Y 0.4009 0.4009 0.1983
Y 0.5991 0.5991 0.8017
Cd 0.2500 0.7500 0.5000
Cd 0.7500 0.2500 0.5000
Bi 0.0000 0.0000 0.0000